--- i ---
A relaxed ScCrFe2 crystal. Source: the Alexandria database, functional GGA-PBEsol.

Summary:
N(E_F)	1.27	states/eV/atom
density	7.09	g/cm³
symmetry	Fm-3m (225)

Geometry as POSCAR:
```
ScCrFe2
1.0
0.000 2.902 2.902
2.902 0.000 2.902
2.902 2.902 0.000
Sc Cr Fe
1 1 2
Cartesian
0.000 0.000 0.000
2.902 2.902 2.902
1.451 1.451 1.451
4.353 4.353 4.353
```

=====

--- ii ---
A relaxed ScCrFe2 crystal. Source: the Alexandria database, functional GGA-PBEsol.

Summary:
N(E_F)	1.22	states/eV/atom
density	6.57	g/cm³
symmetry	P4/mmm (123)

Geometry as POSCAR:
```
ScCrFe2
1.0
3.669 0.000 0.000
0.000 3.669 0.000
0.000 0.000 3.920
Sc Cr Fe
1 1 2
Cartesian
0.000 0.000 0.000
1.834 1.834 0.000
0.000 1.834 1.960
1.834 0.000 1.960
```

=====

--- iii ---
A relaxed ScCrFe2 crystal. Source: the Alexandria database, functional GGA-PBEsol.

Summary:
N(E_F)	1.50	states/eV/atom
density	6.62	g/cm³
symmetry	I-4m2 (119)

Geometry as POSCAR:
```
ScCrFe2
1.0
-1.781 1.781 4.125
1.781 -1.781 4.125
1.781 1.781 -4.125
Sc Cr Fe
1 1 2
Cartesian
0.000 0.000 0.000
0.000 1.781 2.062
1.781 0.000 2.062
0.000 0.000 4.125
```

=====

Most stable of them? i.

=====

--- i ---
A relaxed Cr2FeSe crystal. Source: the Alexandria database, functional GGA-PBEsol.

Summary:
N(E_F)	0.72	states/eV/atom
density	8.30	g/cm³
symmetry	P4mm (99)

Geometry as POSCAR:
```
Cr2FeSe
1.0
2.927 0.000 0.000
0.000 2.927 0.000
0.000 0.000 5.576
Cr Fe Se
2 1 1
Cartesian
0.000 0.000 0.000
1.464 1.464 1.497
0.000 0.000 2.650
1.464 1.464 4.267
```

=====

--- ii ---
A relaxed Cr2FeSe crystal. Source: the Alexandria database, functional GGA-PBEsol.

Summary:
N(E_F)	1.09	states/eV/atom
density	8.39	g/cm³
symmetry	P4/mmm (123)

Geometry as POSCAR:
```
Cr2FeSe
1.0
4.072 0.000 0.000
0.000 4.072 0.000
0.000 0.000 2.851
Cr Fe Se
2 1 1
Cartesian
0.000 2.036 0.000
2.036 0.000 0.000
0.000 0.000 1.426
2.036 2.036 1.426
```

=====

--- iii ---
A relaxed Cr2FeSe crystal. Source: the Alexandria database, functional GGA-PBEsol.

Summary:
N(E_F)	0.89	states/eV/atom
density	8.30	g/cm³
symmetry	Cm (8)

Geometry as POSCAR:
```
Cr2FeSe
1.0
4.142 -1.420 0.000
4.142 1.420 0.000
-1.140 0.000 4.062
Cr Fe Se
2 1 1
Cartesian
0.000 0.000 0.000
1.130 0.000 2.517
3.477 0.000 2.008
5.965 0.000 0.576
```

=====

Most stable of them? i.

=====

--- i ---
A relaxed SrCrFe2 crystal. Source: the Alexandria database, functional GGA-PBEsol.

Summary:
N(E_F)	1.64	states/eV/atom
density	6.44	g/cm³
symmetry	F-43m (216)

Geometry as POSCAR:
```
SrCrFe2
1.0
0.000 3.188 3.188
3.188 0.000 3.188
3.188 3.188 0.000
Sr Cr Fe
1 1 2
Cartesian
0.000 0.000 0.000
1.594 1.594 1.594
3.188 3.188 3.188
4.782 4.782 4.782
```

=====

--- ii ---
A relaxed SrCrFe2 crystal. Source: the Alexandria database, functional GGA-PBEsol.

Summary:
N(E_F)	0.97	states/eV/atom
density	6.71	g/cm³
symmetry	P4/mmm (123)

Geometry as POSCAR:
```
SrCrFe2
1.0
2.951 0.000 0.000
0.000 2.951 0.000
0.000 0.000 7.144
Sr Cr Fe
1 1 2
Cartesian
0.000 0.000 0.000
0.000 0.000 3.572
1.475 1.475 2.397
1.475 1.475 4.747
```

=====

Most stable of them? ii.

=====

--- i ---
A relaxed Ta2CrFe crystal. Source: the Alexandria database, functional GGA-PBEsol.

Summary:
N(E_F)	1.11	states/eV/atom
density	13.70	g/cm³
symmetry	Cmm2 (35)

Geometry as POSCAR:
```
Ta2CrFe
1.0
1.825 -2.093 0.000
1.825 2.093 0.000
0.000 0.000 7.450
Ta Cr Fe
2 1 1
Cartesian
0.000 0.000 0.000
1.825 0.000 2.318
0.000 0.000 4.303
1.825 0.000 5.525
```

=====

--- ii ---
A relaxed Ta2CrFe crystal. Source: the Alexandria database, functional GGA-PBEsol.

Summary:
N(E_F)	0.75	states/eV/atom
density	13.95	g/cm³
symmetry	P4/mmm (123)

Geometry as POSCAR:
```
Ta2CrFe
1.0
3.039 0.000 0.000
0.000 3.039 0.000
0.000 0.000 6.053
Ta Cr Fe
2 1 1
Cartesian
0.000 0.000 1.507
0.000 0.000 4.546
1.520 1.520 0.000
1.520 1.520 3.027
```

=====

--- iii ---
A relaxed Ta2CrFe crystal. Source: the Alexandria database, functional GGA-PBEsol.

Summary:
N(E_F)	1.02	states/eV/atom
density	13.67	g/cm³
symmetry	Pmmm (47)

Geometry as POSCAR:
```
Ta2CrFe
1.0
3.157 0.000 0.000
0.000 4.013 0.000
0.000 0.000 4.506
Ta Cr Fe
2 1 1
Cartesian
0.000 0.000 0.000
1.578 0.000 2.253
0.000 2.006 2.253
1.578 2.006 0.000
```

=====

--- iv ---
A relaxed Ta2CrFe crystal. Source: the Alexandria database, functional GGA-PBEsol.

Summary:
N(E_F)	0.83	states/eV/atom
density	13.83	g/cm³
symmetry	F-43m (216)

Geometry as POSCAR:
```
Ta2CrFe
1.0
0.000 3.044 3.044
3.044 0.000 3.044
3.044 3.044 0.000
Ta Cr Fe
2 1 1
Cartesian
0.000 0.000 0.000
1.522 1.522 1.522
4.566 4.566 4.566
3.044 3.044 3.044
```

=====

Most stable of them? ii.

=====

--- i ---
A relaxed Ta2CrFe crystal. Source: the Alexandria database, functional GGA-PBEsol.

Summary:
N(E_F)	0.86	states/eV/atom
density	13.67	g/cm³
symmetry	C2/m (12)

Geometry as POSCAR:
```
Ta2CrFe
1.0
2.755 -4.063 0.000
2.755 4.063 0.000
-0.932 0.000 2.549
Ta Cr Fe
2 1 1
Cartesian
1.377 2.031 0.000
1.377 -2.031 0.000
-0.466 0.000 1.274
2.289 0.000 1.274
```

=====

--- ii ---
A relaxed Ta2CrFe crystal. Source: the Alexandria database, functional GGA-PBEsol.

Summary:
N(E_F)	0.32	states/eV/atom
density	13.99	g/cm³
symmetry	Fm-3m (225)

Geometry as POSCAR:
```
Ta2CrFe
1.0
0.000 3.032 3.032
3.032 0.000 3.032
3.032 3.032 0.000
Ta Cr Fe
2 1 1
Cartesian
1.516 1.516 1.516
4.549 4.549 4.549
0.000 0.000 0.000
3.032 3.032 3.032
```

=====

Most stable of them? ii.

=====

--- i ---
A relaxed Zn2CrFe crystal. Source: the Alexandria database, functional GGA-PBEsol.

Summary:
N(E_F)	1.10	states/eV/atom
density	8.16	g/cm³
symmetry	I4/mmm (139)

Geometry as POSCAR:
```
Zn2CrFe
1.0
-1.785 1.785 3.811
1.785 -1.785 3.811
1.785 1.785 -3.811
Zn Cr Fe
2 1 1
Cartesian
1.785 0.000 1.906
0.000 1.785 1.906
0.000 0.000 0.000
0.000 0.000 3.811
```

=====

--- ii ---
A relaxed Zn2CrFe crystal. Source: the Alexandria database, functional GGA-PBEsol.

Summary:
N(E_F)	0.83	states/eV/atom
density	8.19	g/cm³
symmetry	Pmmm (47)

Geometry as POSCAR:
```
Zn2CrFe
1.0
2.468 0.000 0.000
0.000 3.874 0.000
0.000 0.000 5.065
Zn Cr Fe
2 1 1
Cartesian
0.000 0.000 1.253
0.000 0.000 3.812
1.234 1.937 2.533
1.234 1.937 0.000
```

=====

--- iii ---
A relaxed Zn2CrFe crystal. Source: the Alexandria database, functional GGA-PBEsol.

Summary:
N(E_F)	0.41	states/eV/atom
density	8.29	g/cm³
symmetry	P4mm (99)

Geometry as POSCAR:
```
Zn2CrFe
1.0
2.738 0.000 0.000
0.000 2.738 0.000
0.000 0.000 6.377
Zn Cr Fe
2 1 1
Cartesian
0.000 0.000 0.000
1.369 1.369 1.780
0.000 0.000 3.507
1.369 1.369 4.742
```

=====

Most stable of them? iii.